(1)
A relaxed structure of Be2CuRh. Source: Alexandria, functional GGA-PBE.

The density comes out at 6.82 g/cm³. Its formation energy is -0.1 eV/f.u. For the magnetic moment, the calculation gives 0.0 μB/f.u. For the total energy, the calculation gives -37.91 eV for the cell shown.

POSCAR file:
```
Be2CuRh
1.0
-2.9825 2.9825 2.5228
2.9825 -2.9825 2.5228
2.9825 2.9825 -2.5228
Be Cu Rh
4 2 2
direct
0.1165 0.6250 0.9915
0.3750 0.3665 0.4915
0.6335 0.1250 0.0085
0.8750 0.8835 0.5085
0.0000 0.0000 0.0000
0.7500 0.2500 0.5000
0.2500 0.7500 0.5000
0.5000 0.5000 0.0000
```


(2)
A relaxed structure of BaLa4Cr. Source: Alexandria, functional GGA-PBE.

The density comes out at 5.55 g/cm³. Its formation energy is 3.4 eV/f.u. For the magnetic moment, the calculation gives 4.5 μB/f.u. For the total energy, the calculation gives -27.83 eV for the cell shown.

POSCAR file:
```
BaLa4Cr
1.0
0.0000 4.8123 4.8123
4.8123 0.0000 4.8123
4.8123 4.8123 0.0000
Ba La Cr
1 4 1
direct
0.0000 0.0000 0.0000
0.3803 0.3803 0.3803
0.3803 0.3803 0.8592
0.3803 0.8592 0.3803
0.8592 0.3803 0.3803
0.7500 0.7500 0.7500
```


(3)
A relaxed structure of LiCo2Re. Source: Alexandria, functional GGA-PBE.

The density comes out at 10.93 g/cm³. The calculation puts the relative energy among the computed polymorphs at 10 meV per atom. Its formation energy is 0.6 eV/f.u. For the magnetic moment, the calculation gives 2.0 μB/f.u. For the total energy, the calculation gives -27.94 eV for the cell shown.

POSCAR file:
```
LiCo2Re
1.0
0.0000 2.8696 2.8696
2.8696 0.0000 2.8696
2.8696 2.8696 0.0000
Li Co Re
1 2 1
direct
0.0000 0.0000 0.0000
0.2500 0.2500 0.2500
0.7500 0.7500 0.7500
0.5000 0.5000 0.5000
```


(4)
A relaxed structure of LiTa2Ti. Source: Alexandria, functional GGA-PBE.

The density comes out at 10.50 g/cm³. The calculation puts the relative energy among the computed polymorphs at 0 meV per atom. Its formation energy is 1.6 eV/f.u. For the magnetic moment, the calculation gives 0.0 μB/f.u. For the total energy, the calculation gives -31.87 eV for the cell shown.

POSCAR file:
```
LiTa2Ti
1.0
0.0000 3.2056 3.2056
3.2056 0.0000 3.2056
3.2056 3.2056 0.0000
Li Ta Ti
1 2 1
direct
0.0000 0.0000 0.0000
0.2500 0.2500 0.2500
0.7500 0.7500 0.7500
0.5000 0.5000 0.5000
```